# 1
Material: Na6Ac
Method: DFT, PBE
State: relaxed

```
Na6Ac
1.0
-4.1754 4.1754 4.1754
4.1754 -4.1754 4.1754
4.1754 4.1754 -4.1754
Na Ac
6 1
Cartesian
4.1754 2.0877 0.0000 Na
4.1754 0.0000 2.0877 Na
2.0877 4.1754 0.0000 Na
2.0877 0.0000 4.1754 Na
0.0000 4.1754 2.0877 Na
0.0000 2.0877 4.1754 Na
0.0000 0.0000 0.0000 Ac
```

Output
Energy relative to the elements (kJ per mole of atoms): 39.3
Symmetry: Im-3m, No. 229
Crystal system: cubic

=====

# 2
Material: NaAc
Method: DFT, PBE
State: relaxed

```
NaAc
1.0
3.8528 0.0000 0.0000
-1.9264 3.3366 0.0000
0.0000 0.0000 6.5727
Na Ac
1 1
Cartesian
0.0000 0.0000 0.0000 Na
0.0000 2.2244 3.2863 Ac
```

Output
Energy relative to the elements (kJ per mole of atoms): 15.9
Energy above the most stable polymorph in this dataset (meV/atom): 101
Symmetry: P-6m2, No. 187
Crystal system: hexagonal

=====

# 3
Material: Na3Ac
Method: DFT, PBE
State: relaxed

```
Na3Ac
1.0
3.5735 0.0000 0.0000
0.0000 3.6871 0.0000
0.0000 0.0000 12.6677
Na Ac
3 1
Cartesian
0.0000 0.0000 0.0000 Na
0.0000 1.8436 3.2721 Na
1.7868 1.8436 9.7627 Na
1.7868 0.0000 6.3483 Ac
```

Output
Energy relative to the elements (kJ per mole of atoms): 17.4
Energy above the most stable polymorph in this dataset (meV/atom): 140
Symmetry: Pmm2, No. 25
Crystal system: orthorhombic

=====

# 4
Material: Na3Ac2
Method: DFT, PBE
State: relaxed

```
Na3Ac2
1.0
1.9570 1.1299 15.9176
-1.9570 1.1299 15.9176
0.0000 -2.2598 15.9176
Na Ac
3 2
Cartesian
0.0000 0.0000 0.0000 Na
0.0000 0.0000 18.9868 Na
0.0000 0.0000 28.7658 Na
0.0000 0.0000 9.5535 Ac
0.0000 0.0000 38.1992 Ac
```

Output
Energy relative to the elements (kJ per mole of atoms): 5.0
Symmetry: R-3m, No. 166
Crystal system: trigonal

=====

# 5
Material: Na2AcNbO6
Method: DFT, PBE
State: relaxed

```
Na2AcNbO6
1.0
5.9005 0.0000 0.0000
0.0000 6.0498 0.0000
-5.8026 0.0000 8.4544
Na Ac Nb O
4 2 2 12
Cartesian
0.0690 0.2142 2.0052 Na
-2.8323 2.8106 6.2323 Na
2.9302 3.2391 2.2220 Na
0.0290 5.8355 6.4492 Na
-2.9013 0.0000 4.2272 Ac
0.0000 3.0249 0.0000 Ac
2.9503 0.0000 0.0000 Nb
0.0490 3.0249 4.2272 Nb
-4.6057 0.9290 8.1163 O
-1.7044 2.0959 3.8891 O
-3.7215 4.3270 7.8803 O
-0.8202 4.7476 3.6531 O
-2.2713 0.4149 6.5639 O
0.6300 2.6100 2.3367 O
-0.5320 3.4398 6.1177 O
2.3693 5.6349 1.8905 O
0.9182 1.3021 4.8012 O
3.8195 1.7227 0.5740 O
1.8024 3.9538 4.5653 O
4.7037 5.1208 0.3381 O
```

Output
Symmetry: P2_1/c, No. 14
ΔE_f (raw) (eV per formula unit): -20.91
Crystal system: monoclinic

=====

# 6
Material: Na2AcNb2O7
Method: DFT, PBE
State: relaxed

```
Na2AcNb2O7
1.0
2.8639 -2.8639 0.0000
2.8639 2.8639 0.0000
-2.8605 0.0000 10.3825
Na Ac Nb O
2 1 2 7
Cartesian
0.0127 0.0000 4.0538 Na
2.8546 0.0000 6.3288 Na
0.0000 0.0000 0.0000 Ac
0.0025 0.0000 8.1863 Nb
2.8649 0.0000 2.1962 Nb
1.4325 1.4321 1.8863 O
0.0072 0.0000 6.3262 O
1.4348 1.4321 8.4962 O
2.8639 0.0000 0.0000 O
1.4325 -1.4321 1.8863 O
2.8602 0.0000 4.0563 O
1.4348 -1.4321 8.4962 O
```

Output
Symmetry: C2/m, No. 12
ΔE_f (raw) (eV per formula unit): -31.09
Crystal system: monoclinic